A plane-wave DFT calculation with PBE with a Hubbard U was carried out for KCrPO4 after structural relaxation.

Unit cell a=5.358 b=5.669 c=7.086 alpha=90.00 beta=106.47 gamma=90.00
Space group P2_1/m (No. 11)
Asymmetric unit:
K: 0.202 0.250 0.431 x2
Cr: 0.268 0.250 0.954 x2
P: 0.257 0.750 0.160 x2
O: 0.061 0.750 0.949 x2
O: 0.078 0.750 0.301 x2
O: 0.442 0.532 0.190 x4

Computed properties:
The raw total energy is -96.7 eV/cell. As for the crystal system: monoclinic. For the density of states at the Fermi level, the calculation gives 0.000 states/eV/atom.